Record 1
{
  "formula": "GaSnPb4",
  "functional": "PBE",
  "state": "optimized geometry",
  "e_above_lowest_polymorph_mev_per_atom": 0,
  "formation_enthalpy_0k_mev_per_atom": 29,
  "lattice": [[3.5491, 0.0000, 0.0000], [0.0000, 3.5491, 0.0000], [0.0000, 0.0000, 13.7996]],
  "species": ["Ga", "Sn", "Pb", "Pb", "Pb", "Pb"],
  "frac_coords": [[0.0000, 0.0000, 0.0000], [0.5000, 0.5000, 0.5000], [0.0000, 0.0000, 0.3303], [0.0000, 0.0000, 0.6697], [0.5000, 0.5000, 0.1467], [0.5000, 0.5000, 0.8533]]
}

***

Record 2
{
  "formula": "CeNd15Er4",
  "functional": "PBE",
  "state": "optimized geometry",
  "formation_enthalpy_0k_mev_per_atom": 27,
  "lattice": [[5.1551, 0.0000, 0.0000], [0.0000, 5.1551, 0.0000], [0.0000, 0.0000, 25.6911]],
  "species": ["Ce", "Nd", "Nd", "Nd", "Nd", "Nd", "Nd", "Nd", "Nd", "Nd", "Nd", "Nd", "Nd", "Nd", "Nd", "Nd", "Er", "Er", "Er", "Er"],
  "frac_coords": [[0.0000, 0.0000, 0.0000], [0.0000, 0.5000, 0.0996], [0.0000, 0.5000, 0.2999], [0.0000, 0.5000, 0.5000], [0.0000, 0.5000, 0.7001], [0.0000, 0.5000, 0.9004], [0.5000, 0.0000, 0.0996], [0.5000, 0.0000, 0.2999], [0.5000, 0.0000, 0.5000], [0.5000, 0.0000, 0.7001], [0.5000, 0.0000, 0.9004], [0.5000, 0.5000, 0.0000], [0.5000, 0.5000, 0.2014], [0.5000, 0.5000, 0.4003], [0.5000, 0.5000, 0.5997], [0.5000, 0.5000, 0.7986], [0.0000, 0.0000, 0.2001], [0.0000, 0.0000, 0.4000], [0.0000, 0.0000, 0.6000], [0.0000, 0.0000, 0.7999]]
}

***

Record 3
{
  "formula": "LiFeAgCl5",
  "functional": "PBE",
  "state": "optimized geometry",
  "raw_formation_energy_ev_per_atom": -0.9173,
  "lattice": [[5.1366, -5.0530, 0.0000], [5.1366, 5.0530, 0.0000], [-3.7698, 0.0000, 8.3977]],
  "species": ["Li", "Li", "Fe", "Fe", "Ag", "Ag", "Cl", "Cl", "Cl", "Cl", "Cl", "Cl", "Cl", "Cl", "Cl", "Cl"],
  "frac_coords": [[0.0000, 0.0000, 0.0000], [0.0000, 0.0000, 0.5000], [0.3482, 0.6518, 0.7500], [0.6518, 0.3482, 0.2500], [0.3322, 0.6678, 0.2500], [0.6678, 0.3322, 0.7500], [0.0896, 0.9104, 0.2500], [0.1204, 0.6735, 0.8679], [0.3123, 0.3580, 0.5720], [0.3265, 0.8796, 0.6321], [0.3580, 0.3123, 0.0720], [0.6420, 0.6877, 0.9280], [0.6735, 0.1204, 0.3679], [0.6877, 0.6420, 0.4280], [0.8796, 0.3265, 0.1321], [0.9104, 0.0896, 0.7500]]
}

***

Record 4
{
  "formula": "Ce2GaSi4Ir3",
  "functional": "PBE",
  "state": "optimized geometry",
  "raw_formation_energy_ev_per_atom": -0.8917,
  "lattice": [[4.1673, 0.0000, 0.0000], [0.0000, 4.1673, 0.0000], [0.0000, 0.0000, 10.0571]],
  "species": ["Ce", "Ce", "Ga", "Si", "Si", "Si", "Si", "Ir", "Ir", "Ir"],
  "frac_coords": [[0.0000, 0.5000, 0.2451], [0.5000, 0.0000, 0.7549], [0.0000, 0.0000, 0.5000], [0.0000, 0.0000, 0.0000], [0.0000, 0.5000, 0.6406], [0.5000, 0.0000, 0.3594], [0.5000, 0.5000, 0.0000], [0.0000, 0.5000, 0.8765], [0.5000, 0.0000, 0.1235], [0.5000, 0.5000, 0.5000]]
}

***

Record 5
{
  "formula": "Zr2TaCuBr",
  "functional": "PBE",
  "state": "optimized geometry",
  "raw_formation_energy_ev_per_atom": 1.0069,
  "lattice": [[4.9647, 0.0000, 0.0000], [0.0000, 4.9647, 0.0000], [0.0000, 0.0000, 4.6735]],
  "species": ["Zr", "Zr", "Ta", "Cu", "Br"],
  "frac_coords": [[0.0000, 0.5000, 0.0000], [0.5000, 0.0000, 0.0000], [0.0000, 0.0000, 0.5000], [0.5000, 0.5000, 0.5000], [0.0000, 0.0000, 0.0000]]
}

***

Record 6
{
  "formula": "As2PPt",
  "functional": "PBE",
  "state": "optimized geometry",
  "formation_enthalpy_0k_mev_per_atom": -80,
  "lattice": [[1.8155, 1.0482, 6.1554], [-1.8155, 1.0482, 6.1554], [0.0000, -2.0964, 6.1554]],
  "species": ["As", "As", "P", "Pt"],
  "frac_coords": [[0.0000, 0.0000, 0.0000], [0.2400, 0.2400, 0.2400], [0.7494, 0.7494, 0.7494], [0.4893, 0.4893, 0.4893]]
}

***

Record 7
{
  "formula": "TaCo2Rh",
  "functional": "PBE",
  "state": "optimized geometry",
  "e_above_lowest_polymorph_mev_per_atom": 283,
  "formation_enthalpy_0k_mev_per_atom": -54,
  "lattice": [[0.0000, 2.9879, 2.9879], [2.9879, 0.0000, 2.9879], [2.9879, 2.9879, 0.0000]],
  "species": ["Ta", "Co", "Co", "Rh"],
  "frac_coords": [[0.0000, 0.0000, 0.0000], [0.2500, 0.2500, 0.2500], [0.7500, 0.7500, 0.7500], [0.5000, 0.5000, 0.5000]]
}

***

Record 8
{
  "formula": "VMoSe2N",
  "functional": "PBE",
  "state": "optimized geometry",
  "raw_formation_energy_ev_per_atom": 0.5341,
  "e_above_lowest_polymorph_mev_per_atom": 158,
  "lattice": [[5.0617, 0.0000, 0.0000], [0.0000, 5.0617, 0.0000], [0.0000, 0.0000, 3.7516]],
  "species": ["V", "Mo", "Se", "Se", "N"],
  "frac_coords": [[0.0000, 0.0000, 0.0000], [0.5000, 0.5000, 0.5000], [0.0000, 0.5000, 0.5000], [0.5000, 0.0000, 0.5000], [0.5000, 0.5000, 0.0000]]
}